No. 1
The following is a DFT calculation (PBE) of crystalline KSi3As3 at its relaxed geometry.

a = 10.1783 Å, b = 19.5218 Å, c = 3.7086 Å
α = 90.00°, β = 90.00°, γ = 90.00°
Space group Pbam (No. 55)
Asymmetric unit:
K (0.1872, 0.1976, 0.0000) x4
Si (0.0937, 0.4651, 0.5000) x4
Si (0.1116, 0.9850, 0.0000) x4
Si (0.1753, 0.8690, 0.0000) x4
As (0.0873, 0.3869, 0.0000) x4
As (0.1048, 0.8036, 0.5000) x4
As (0.2172, 0.0413, 0.5000) x4

Results
energy relative to the elements, uncorrected: -1.855 eV per formula unit

No. 2
The following is a DFT calculation (PBE) of crystalline CeCo5Si2 at its relaxed geometry.

a = 3.5864 Å, b = 6.4482 Å, c = 9.1492 Å
α = 90.00°, β = 90.00°, γ = 90.00°
Space group Immm (No. 71)
Asymmetric unit:
Ce (0.0000, 0.0000, 0.0000) x2
Co (0.0000, 0.1912, 0.3578) x8
Co (0.0000, 0.5000, 0.0000) x2
Si (0.0000, 0.5000, 0.2403) x4

Results
energy relative to the elements, uncorrected: -3.391 eV per formula unit

No. 3
The following is a DFT calculation (PBE) of crystalline TcAgSn2 at its relaxed geometry.

a = 6.2205 Å, b = 6.2205 Å, c = 12.2802 Å
α = 90.00°, β = 90.00°, γ = 90.00°
Space group I-42d (No. 122)
Asymmetric unit:
Tc (0.0000, 0.0000, 0.0000) x4
Ag (0.0000, 0.0000, 0.5000) x4
Sn (0.2190, 0.2500, 0.1250) x8

Results
calculated formation energy: 802 meV/atom

No. 4
The following is a DFT calculation (PBE) of crystalline Fe3MoPd at its relaxed geometry.

a = 4.4021 Å, b = 4.4021 Å, c = 4.4021 Å
α = 90.00°, β = 90.00°, γ = 90.00°
Space group Pm-3m (No. 221)
Asymmetric unit:
Fe (0.0000, 0.0000, 0.5000) x3
Mo (0.0000, 0.0000, 0.0000) x1
Pd (0.5000, 0.5000, 0.5000) x1

Results
calculated formation energy: 1408 meV/atom

No. 5
The following is a DFT calculation (PBE) of crystalline Zr4Ni3 at its relaxed geometry.

a = 3.2839 Å, b = 3.2839 Å, c = 22.8380 Å
α = 90.00°, β = 90.00°, γ = 90.00°
Space group I4/mmm (No. 139)
Asymmetric unit:
Zr (0.0000, 0.0000, 0.0697) x4
Zr (0.0000, 0.0000, 0.3387) x4
Ni (0.0000, 0.0000, 0.2203) x4
Ni (0.0000, 0.0000, 0.5000) x2

Results
calculated formation energy: -262 meV/atom

No. 6
The following is a DFT calculation (PBE) of crystalline CsK2RbTe at its relaxed geometry.

a = 6.9504 Å, b = 6.9504 Å, c = 7.2522 Å
α = 90.00°, β = 90.00°, γ = 90.00°
Space group P4/mmm (No. 123)
Asymmetric unit:
Cs (0.0000, 0.0000, 0.0000) x1
K (0.0000, 0.5000, 0.5000) x2
Rb (0.5000, 0.5000, 0.0000) x1
Te (0.5000, 0.5000, 0.5000) x1

Results
energy relative to the elements, uncorrected: -2.507 eV per formula unit